Entry from Alexandria: a relaxed structure of NaOs2Rh (PBE).

abc: 4.384 4.384 4.384
angles: 60.00 60.00 60.00
Fractional coordinates of all 4 atoms:
Na  0.000  0.000  0.000
Os  0.250  0.250  0.250
Os  0.750  0.750  0.750
Rh  0.500  0.500  0.500

Computed properties:
N(E_F) in states/eV/cell: 6.28
VASP energy in eV/cell: -26.7
Energy relative to the elements in eV per formula unit: 4.4
Offset from the most stable computed form in eV per atom: 0.000

=====

Entry from Alexandria: a relaxed structure of NaOsRh (PBE).

abc: 6.925 6.925 4.021
angles: 90.00 90.00 147.10
Fractional coordinates of all 6 atoms:
Na  0.000  0.000  0.000
Na  0.500  0.500  0.500
Os  0.196  0.804  0.500
Os  0.804  0.196  0.500
Rh  0.319  0.681  0.000
Rh  0.681  0.319  0.000

Computed properties:
N(E_F) in states/eV/cell: 4.17
VASP energy in eV/cell: -37.1
Energy relative to the elements in eV per formula unit: 1.4
Offset from the most stable computed form in eV per atom: 0.123